{"formula": "GdPuSn", "functional": "PBE", "state": "relaxed", "e_form_ev_per_fu": -0.57, "n_ef_per_ev_cell": 7.89, "magmom_total_mub_per_cell": 0.6, "lattice_angstrom": [[5.2419, 0.0000, 0.0000], [-2.6209, 4.5396, 0.0000], [0.0000, 0.0000, 3.2688]], "species": ["Gd", "Pu", "Sn"], "fractional_positions": [[0.0000, 0.0000, 0.0000], [0.6667, 0.3333, 0.0000], [0.3333, 0.6667, 0.5000]]}

=====

{"formula": "ZrBOs2C", "functional": "PBE", "state": "relaxed", "e_form_ev_per_fu": 4.70, "n_ef_per_ev_cell": 4.25, "magmom_total_mub_per_cell": 0.0, "lattice_angstrom": [[4.1395, 0.0000, 0.0000], [0.0000, 4.1395, 0.0000], [0.0000, 0.0000, 3.9930]], "species": ["Zr", "B", "Os", "Os", "C"], "fractional_positions": [[0.0000, 0.0000, 0.0000], [0.5000, 0.5000, 0.5000], [0.0000, 0.5000, 0.5000], [0.5000, 0.0000, 0.5000], [0.5000, 0.5000, 0.0000]]}

=====

{"formula": "VCo2Rh", "functional": "PBE", "state": "relaxed", "e_form_ev_per_fu": -0.87, "n_ef_per_ev_cell": 3.52, "magmom_total_mub_per_cell": 0.0, "lattice_angstrom": [[3.6213, 0.0000, 0.0000], [0.0000, 3.6213, 0.0000], [0.0000, 0.0000, 3.6321]], "species": ["V", "Co", "Co", "Rh"], "fractional_positions": [[0.0000, 0.0000, 0.0000], [0.0000, 0.5000, 0.5000], [0.5000, 0.0000, 0.5000], [0.5000, 0.5000, 0.0000]]}

=====

{"formula": "BaAcNiIr", "functional": "PBE", "state": "relaxed", "e_form_ev_per_fu": -1.32, "n_ef_per_ev_cell": 3.06, "magmom_total_mub_per_cell": 0.0, "lattice_angstrom": [[3.7525, -2.1664, 0.0000], [3.7525, 2.1664, 0.0000], [-2.5123, 0.0000, 8.0817]], "species": ["Ba", "Ac", "Ni", "Ir"], "fractional_positions": [[0.0000, 0.0000, 0.0000], [0.1665, 0.1665, 0.4971], [0.4240, 0.4240, 0.2706], [0.7590, 0.7590, 0.2756]]}